--- P ---
DFT (PBE-GGA) results for a geometry-optimized Sb3TeMo structure.

a b c (Å): 5.2320 5.2320 5.2320
angles (deg): 90.00 90.00 90.00
Last column: nearest neighbours and their distance in Å.
Positions (direct):
Sb 0.0000 0.5000 0.0000  2 Mo 2.62
Sb 0.0000 0.0000 0.5000  2 Mo 2.62
Sb 0.5000 0.0000 0.0000  2 Mo 2.62
Mo 0.0000 0.0000 0.0000  6 Sb 2.62
Te 0.5000 0.5000 0.5000  12 Sb 3.70

Calculated values
* density of states at the Fermi level: 2.2 states/eV/cell
* symmetry: Pm-3m (221)
* spin magnetization: 0.000 μB/f.u.



--- Q ---
DFT (PBE-GGA) results for a geometry-optimized Sb3TeMo structure.

a b c (Å): 5.6410 5.6410 5.6410
angles (deg): 90.00 90.00 90.00
Last column: nearest neighbours and their distance in Å.
Positions (direct):
Sb 0.0000 0.5000 0.0000  2 Te 2.82
Sb 0.0000 0.0000 0.5000  2 Te 2.82
Sb 0.5000 0.0000 0.0000  2 Te 2.82
Mo 0.5000 0.5000 0.5000  12 Sb 3.99
Te 0.0000 0.0000 0.0000  6 Sb 2.82

Calculated values
* density of states at the Fermi level: 2.7 states/eV/cell
* symmetry: Pm-3m (221)
* spin magnetization: 3.160 μB/f.u.



Computed energies relative to the best structure, in meV/atom: P 0; Q 1185



--- P ---
DFT (PBE-GGA) results for a geometry-optimized YSb2TeMo structure.

a b c (Å): 5.7016 5.7016 5.6797
angles (deg): 90.00 90.00 90.00
Last column: nearest neighbours and their distance in Å.
Positions (direct):
Y 0.0000 0.0000 0.0000  2 Te 2.84, 4 Sb 2.85
Sb 0.0000 0.5000 0.0000  2 Y 2.85
Sb 0.5000 0.0000 0.0000  2 Y 2.85
Mo 0.5000 0.5000 0.5000  8 Sb 4.02, 4 Te 4.03
Te 0.0000 0.0000 0.5000  2 Y 2.84

Calculated values
* density of states at the Fermi level: 5.2 states/eV/cell
* symmetry: P4/mmm (123)
* spin magnetization: 0.707 μB/f.u.



--- Q ---
DFT (PBE-GGA) results for a geometry-optimized YSb2TeMo structure.

a b c (Å): 5.1251 5.1251 5.7390
angles (deg): 90.00 90.00 90.00
Last column: nearest neighbours and their distance in Å.
Positions (direct):
Y 0.5000 0.5000 0.5000  4 Te 3.62, 8 Sb 3.85
Sb 0.0000 0.5000 0.0000  2 Mo 2.56
Sb 0.5000 0.0000 0.0000  2 Mo 2.56
Mo 0.0000 0.0000 0.0000  4 Sb 2.56, 2 Te 2.87
Te 0.0000 0.0000 0.5000  2 Mo 2.87

Calculated values
* density of states at the Fermi level: 4.3 states/eV/cell
* symmetry: P4/mmm (123)
* spin magnetization: 0.764 μB/f.u.



Computed energies relative to the best structure, in meV/atom: P 1050; Q 0



--- P ---
DFT (PBE-GGA) results for a geometry-optimized ZnSbTe2Mo structure.

a b c (Å): 5.2917 5.2917 5.0783
angles (deg): 90.00 90.00 90.00
Last column: nearest neighbours and their distance in Å.
Positions (direct):
Sb 0.0000 0.0000 0.5000  2 Zn 2.54
Mo 0.5000 0.5000 0.5000  8 Te 3.67, 4 Sb 3.74
Te 0.0000 0.5000 0.0000  2 Zn 2.65
Te 0.5000 0.0000 0.0000  2 Zn 2.65
Zn 0.0000 0.0000 0.0000  2 Sb 2.54, 4 Te 2.65

Calculated values
* density of states at the Fermi level: 4.9 states/eV/cell
* symmetry: P4/mmm (123)
* spin magnetization: 3.298 μB/f.u.



--- Q ---
DFT (PBE-GGA) results for a geometry-optimized ZnSbTe2Mo structure.

a b c (Å): 5.3008 5.3008 5.3437
angles (deg): 90.00 90.00 90.00
Last column: nearest neighbours and their distance in Å.
Positions (direct):
Sb 0.0000 0.0000 0.5000  2 Mo 2.67
Mo 0.0000 0.0000 0.0000  4 Te 2.65, 2 Sb 2.67
Te 0.0000 0.5000 0.0000  2 Mo 2.65
Te 0.5000 0.0000 0.0000  2 Mo 2.65
Zn 0.5000 0.5000 0.5000  4 Sb 3.75, 8 Te 3.76

Calculated values
* density of states at the Fermi level: 5.1 states/eV/cell
* symmetry: P4/mmm (123)
* spin magnetization: 0.000 μB/f.u.



Computed energies relative to the best structure, in meV/atom: P 551; Q 0



--- P ---
DFT (PBE-GGA) results for a geometry-optimized TlSbMo2 structure.

a b c (Å): 5.4449 5.4449 5.4449
angles (deg): 143.67 123.94 68.65
Last column: nearest neighbours and their distance in Å.
Positions (direct):
Mo 0.9889 0.9889 0.0000  2 Sb 2.74, 2 Tl 2.90
Mo 0.5111 0.5111 0.0000  2 Sb 2.74, 2 Tl 2.90
Sb 0.7500 0.2500 0.5000  4 Mo 2.74
Tl 0.2500 0.7500 0.5000  4 Mo 2.90, 4 Sb 3.07

Calculated values
* density of states at the Fermi level: 5.1 states/eV/cell
* symmetry: Immm (71)
* spin magnetization: 0.026 μB/f.u.



--- Q ---
DFT (PBE-GGA) results for a geometry-optimized TlSbMo2 structure.

a b c (Å): 5.3529 5.3529 5.3529
angles (deg): 134.64 134.64 66.10
Last column: nearest neighbours and their distance in Å.
Positions (direct):
Mo 0.0000 0.0000 0.0000  4 Sb 2.92, 4 Mo 3.05, 4 Tl 3.05
Mo 0.2500 0.7500 0.5000  4 Tl 2.92, 4 Mo 3.05, 4 Sb 3.05
Sb 0.5000 0.5000 0.0000  8 Mo 2.92-3.05, 4 Tl 3.05
Tl 0.7500 0.2500 0.5000  8 Mo 2.92-3.05, 4 Sb 3.05

Calculated values
* density of states at the Fermi level: 4.4 states/eV/cell
* symmetry: I-4m2 (119)
* spin magnetization: 0.404 μB/f.u.



--- R ---
DFT (PBE-GGA) results for a geometry-optimized TlSbMo2 structure.

a b c (Å): 7.6425 7.6425 6.1355
angles (deg): 51.48 51.48 90.00
Last column: nearest neighbours and their distance in Å.
Positions (direct):
Sb 0.5000 0.5000 0.0000  4 Mo 2.70, 2 Tl 2.91
Sb 0.2500 0.7500 0.5000  4 Mo 2.70, 2 Tl 2.91
Tl 0.0000 0.0000 0.0000  4 Mo 2.90, 2 Sb 2.91
Tl 0.7500 0.2500 0.5000  4 Mo 2.90, 2 Sb 2.91
Mo 0.6062 0.1250 0.2500  2 Sb 2.70, 2 Tl 2.90, 2 Mo 2.92
Mo 0.1438 0.6250 0.2500  2 Sb 2.70, 2 Tl 2.90, 2 Mo 2.92
Mo 0.3750 0.3938 0.7500  2 Sb 2.70, 2 Tl 2.90, 2 Mo 2.92
Mo 0.8750 0.8562 0.7500  2 Sb 2.70, 2 Tl 2.90, 2 Mo 2.92

Calculated values
* density of states at the Fermi level: 9.3 states/eV/cell
* symmetry: I-42d (122)
* spin magnetization: 1.902 μB/f.u.



--- S ---
DFT (PBE-GGA) results for a geometry-optimized TlSbMo2 structure.

a b c (Å): 4.4426 3.4792 5.5114
angles (deg): 71.61 90.00 90.00
Last column: nearest neighbours and their distance in Å.
Positions (direct):
Mo 0.0000 0.1879 0.9990  2 Mo 2.61, 2 Sb 2.84
Mo 0.5000 0.0572 0.2614  2 Mo 2.61, 1 Tl 2.87
Sb 0.0000 0.4734 0.4286  7 Mo 2.84-2.98
Tl 0.5000 0.7816 0.8110  7 Mo 2.87-2.99

Calculated values
* density of states at the Fermi level: 2.0 states/eV/cell
* symmetry: Amm2 (38)
* spin magnetization: 0.000 μB/f.u.



Computed energies relative to the best structure, in meV/atom: P 286; Q 292; R 592; S 0



--- P ---
DFT (PBE-GGA) results for a geometry-optimized TlSbMo2 structure.

a b c (Å): 3.3319 3.3318 6.8651
angles (deg): 90.00 90.00 90.00
Last column: nearest neighbours and their distance in Å.
Positions (direct):
Mo 0.0000 0.0000 0.0321  4 Sb 2.79, 1 Mo 2.99, 4 Tl 3.05
Mo 0.0000 0.0000 0.4679  4 Sb 2.79, 1 Mo 2.99, 4 Tl 3.05
Sb 0.5000 0.5000 0.2500  8 Mo 2.79
Tl 0.5000 0.5000 0.7500  8 Mo 3.05, 4 Tl 3.33

Calculated values
* density of states at the Fermi level: 4.7 states/eV/cell
* symmetry: P4/mmm (123)
* spin magnetization: 0.000 μB/f.u.



--- Q ---
DFT (PBE-GGA) results for a geometry-optimized TlSbMo2 structure.

a b c (Å): 4.4468 3.3289 5.7278
angles (deg): 84.26 90.00 90.00
Last column: nearest neighbours and their distance in Å.
Positions (direct):
Mo 0.0000 0.9388 0.0597  1 Mo 2.41
Mo 0.0000 0.5612 0.4403  1 Mo 2.41
Sb 0.5000 0.2500 0.2500  4 Mo 2.73
Tl 0.5000 0.7500 0.7500  4 Mo 2.95, 2 Sb 3.17

Calculated values
* density of states at the Fermi level: 3.3 states/eV/cell
* symmetry: P2/m (10)
* spin magnetization: 0.000 μB/f.u.



--- R ---
DFT (PBE-GGA) results for a geometry-optimized TlSbMo2 structure.

a b c (Å): 4.7330 4.7330 5.5975
angles (deg): 79.06 79.06 39.41
Last column: nearest neighbours and their distance in Å.
Positions (direct):
Mo 0.0051 0.0051 0.9731  3 Sb 2.79-2.81, 3 Tl 2.92-2.95, 2 Mo 2.98
Mo 0.4949 0.4949 0.5269  3 Sb 2.79-2.81, 3 Tl 2.92-2.95, 2 Mo 2.98
Sb 0.7500 0.7500 0.7500  6 Mo 2.79-2.81
Tl 0.2500 0.2500 0.2500  6 Mo 2.92-2.95, 2 Tl 3.19, 4 Sb 3.22

Calculated values
* density of states at the Fermi level: 3.1 states/eV/cell
* symmetry: C2/m (12)
* spin magnetization: 0.000 μB/f.u.



--- S ---
DFT (PBE-GGA) results for a geometry-optimized TlSbMo2 structure.

a b c (Å): 3.2390 3.2390 8.3920
angles (deg): 90.00 90.00 90.00
Last column: nearest neighbours and their distance in Å.
Positions (direct):
Mo 0.0000 0.0000 0.0516  4 Mo 2.65
Mo 0.5000 0.5000 0.2100  4 Mo 2.65, 4 Sb 2.94
Sb 0.0000 0.0000 0.4291  5 Mo 2.94-3.17, 4 Sb 3.24
Tl 0.5000 0.5000 0.8093  5 Mo 3.06-3.36, 4 Tl 3.24

Calculated values
* density of states at the Fermi level: 1.2 states/eV/cell
* symmetry: P4mm (99)
* spin magnetization: 0.000 μB/f.u.



Computed energies relative to the best structure, in meV/atom: P 337; Q 390; R 377; S 0



--- P ---
DFT (PBE-GGA) results for a geometry-optimized TlSbMo2 structure.

a b c (Å): 3.0846 3.0846 8.9981
angles (deg): 90.00 90.00 113.61
Last column: nearest neighbours and their distance in Å.
Positions (direct):
Mo 0.0000 0.0000 0.0134  2 Sb 2.72, 2 Tl 2.91
Mo 0.0000 0.0000 0.4866  2 Sb 2.72, 2 Tl 2.91
Sb 0.5000 0.5000 0.2500  4 Mo 2.72
Tl 0.5000 0.5000 0.7500  4 Mo 2.91, 4 Tl 3.08

Calculated values
* density of states at the Fermi level: 4.8 states/eV/cell
* symmetry: Cmmm (65)
* spin magnetization: 0.000 μB/f.u.



--- Q ---
DFT (PBE-GGA) results for a geometry-optimized TlSbMo2 structure.

a b c (Å): 5.3745 5.3745 5.1610
angles (deg): 69.21 69.21 35.55
Last column: nearest neighbours and their distance in Å.
Positions (direct):
Mo 0.0330 0.0330 0.0262  2 Mo 2.54
Mo 0.7162 0.7162 0.7270  2 Mo 2.54
Sb 0.4822 0.4822 0.5533  7 Mo 2.85-3.14
Tl 0.2686 0.2686 0.1935  7 Mo 2.85-3.12

Calculated values
* density of states at the Fermi level: 2.7 states/eV/cell
* symmetry: Cm (8)
* spin magnetization: 0.000 μB/f.u.



--- R ---
DFT (PBE-GGA) results for a geometry-optimized TlSbMo2 structure.

a b c (Å): 9.0587 9.0587 9.0587
angles (deg): 20.13 20.13 20.13
Last column: nearest neighbours and their distance in Å.
Positions (direct):
Mo 0.9958 0.9958 0.9958  3 Sb 2.79, 3 Tl 2.96
Mo 0.5042 0.5042 0.5042  3 Sb 2.79, 3 Tl 2.96
Sb 0.2500 0.2500 0.2500  6 Mo 2.79
Tl 0.7500 0.7500 0.7500  6 Mo 2.96, 6 Tl 3.17

Calculated values
* density of states at the Fermi level: 3.3 states/eV/cell
* symmetry: R-3m (166)
* spin magnetization: 0.000 μB/f.u.



--- S ---
DFT (PBE-GGA) results for a geometry-optimized TlSbMo2 structure.

a b c (Å): 9.3566 9.3566 9.3566
angles (deg): 20.11 20.11 20.11
Last column: nearest neighbours and their distance in Å.
Positions (direct):
Mo 0.9881 0.9881 0.9881  3 Mo 2.58
Mo 0.2574 0.2574 0.2574  3 Mo 2.58, 3 Sb 2.85
Sb 0.5129 0.5129 0.5129  3 Mo 2.85
Tl 0.7416 0.7416 0.7416  3 Mo 3.04, 6 Tl 3.27

Calculated values
* density of states at the Fermi level: 3.2 states/eV/cell
* symmetry: R3m (160)
* spin magnetization: 0.000 μB/f.u.



Computed energies relative to the best structure, in meV/atom: P 357; Q 130; R 227; S 0